TiMnCd2 after structural relaxation. Source: Alexandria via LeMat-Bulk, functional PBE-GGA.

Unit cell a=7.548 b=7.548 c=5.947 alpha=50.61 beta=50.61 gamma=90.00
Sites, in units of the cell vectors:
Cd  0.375  0.347  0.750
Cd  0.653  0.125  0.250
Cd  0.875  0.903  0.750
Cd  0.097  0.625  0.250
Ti  0.500  0.500  0.000
Ti  0.250  0.750  0.500
Mn  0.750  0.250  0.500
Mn  0.000  0.000  0.000

For the density of states at the Fermi level, the calculation gives 5.10 states/eV/f.u. Its formation energy from the elements is 73 kJ per mole of atoms. As for the spin magnetization: 0.03 μB/cell.

---

VTcPt3 after structural relaxation. Source: Alexandria via LeMat-Bulk, functional PBE-GGA.

Unit cell a=4.607 b=4.607 c=4.607 alpha=90.00 beta=90.00 gamma=90.00
Last column: magnetic moment on the atom in μB.
Sites, in units of the cell vectors:
Tc  0.500  0.500  0.500  3.23
V  0.000  0.000  0.000  -0.14
Pt  0.000  0.000  0.500  0.00
Pt  0.500  0.000  0.000  0.00
Pt  0.000  0.500  0.000  0.00

For the density of states at the Fermi level, the calculation gives 4.68 states/eV/f.u. Its formation energy from the elements is 102 kJ per mole of atoms. As for the spin magnetization: 3.43 μB/cell.

---

Energy above the most stable polymorph in this dataset / eV per atom: 0.5689 1.4210